(1)
An optimized crystal structure of SrSiAu2, computed with PBE.

```
data_SrSiAu2
_chemical_formula_sum 'Sr1 Si1 Au2'
_cell_length_a 3.501
_cell_length_b 3.501
_cell_length_c 7.166
_cell_angle_alpha 90.00
_cell_angle_beta 90.00
_cell_angle_gamma 90.00
_symmetry_space_group_name_H-M 'P 4/m m m'
_symmetry_Int_Tables_number 123
_symmetry_space_group_name_Hall '-P 4 2'
loop_
_atom_site_label
_atom_site_type_symbol
_atom_site_fract_x
_atom_site_fract_y
_atom_site_fract_z
Sr1 Sr 0.000 0.000 0.000
Si1 Si 0.000 0.000 0.500
Au1 Au 0.500 0.500 0.299
```

Properties
The value obtained for the formation energy from raw total energies is -191.7 meV per atom.

(2)
An optimized crystal structure of SrSi2Au5, computed with PBE.

```
data_SrSi2Au5
_chemical_formula_sum 'Sr2 Si4 Au10'
_cell_length_a 4.427
_cell_length_b 7.206
_cell_length_c 10.114
_cell_angle_alpha 90.00
_cell_angle_beta 90.00
_cell_angle_gamma 90.00
_symmetry_space_group_name_H-M 'I m m m'
_symmetry_Int_Tables_number 71
_symmetry_space_group_name_Hall '-I 2 2'
loop_
_atom_site_label
_atom_site_type_symbol
_atom_site_fract_x
_atom_site_fract_y
_atom_site_fract_z
Sr1 Sr 0.000 0.000 0.000
Si1 Si 0.000 0.500 0.244
Au1 Au 0.000 0.201 0.353
Au2 Au 0.000 0.500 0.000
```

Properties
The value obtained for the formation energy from raw total energies is -344.7 meV per atom.

(3)
An optimized crystal structure of Sr3Si2Au7, computed with PBE.

```
data_Sr3Si2Au7
_chemical_formula_sum 'Sr6 Si4 Au14'
_cell_length_a 4.513
_cell_length_b 4.513
_cell_length_c 27.823
_cell_angle_alpha 90.00
_cell_angle_beta 90.00
_cell_angle_gamma 90.00
_symmetry_space_group_name_H-M 'I 4/m m m'
_symmetry_Int_Tables_number 139
_symmetry_space_group_name_Hall '-I 4 2'
loop_
_atom_site_label
_atom_site_type_symbol
_atom_site_fract_x
_atom_site_fract_y
_atom_site_fract_z
Sr1 Sr 0.000 0.000 0.000
Sr2 Sr 0.000 0.000 0.174
Si1 Si 0.000 0.000 0.379
Au1 Au 0.000 0.000 0.289
Au2 Au 0.000 0.000 0.500
Au3 Au 0.000 0.500 0.082
```

Properties
The value obtained for the formation energy from raw total energies is -488.9 meV per atom.

(4)
An optimized crystal structure of Sr3Si4Au2, computed with PBE.

```
data_Sr3Si4Au2
_chemical_formula_sum 'Sr6 Si8 Au4'
_cell_length_a 11.890
_cell_length_b 4.246
_cell_length_c 8.731
_cell_angle_alpha 90.00
_cell_angle_beta 96.40
_cell_angle_gamma 90.00
_symmetry_space_group_name_H-M 'C 1 2/m 1'
_symmetry_Int_Tables_number 12
_symmetry_space_group_name_Hall '-C 2y'
loop_
_atom_site_label
_atom_site_type_symbol
_atom_site_fract_x
_atom_site_fract_y
_atom_site_fract_z
Sr1 Sr 0.000 0.000 0.000
Sr2 Sr 0.167 0.500 0.668
Si1 Si 0.052 0.000 0.393
Si2 Si 0.223 0.500 0.057
Au1 Au 0.110 0.500 0.279
```

Properties
The value obtained for the formation energy from raw total energies is -598.1 meV per atom.

(5)
An optimized crystal structure of Sr2SiAu, computed with PBE.

```
data_Sr2SiAu
_chemical_formula_sum 'Sr8 Si4 Au4'
_cell_length_a 7.446
_cell_length_b 7.446
_cell_length_c 7.446
_cell_angle_alpha 90.00
_cell_angle_beta 90.00
_cell_angle_gamma 90.00
_symmetry_space_group_name_H-M 'F -4 3 m'
_symmetry_Int_Tables_number 216
_symmetry_space_group_name_Hall 'F -4 2 3'
loop_
_atom_site_label
_atom_site_type_symbol
_atom_site_fract_x
_atom_site_fract_y
_atom_site_fract_z
Sr1 Sr 0.000 0.000 0.000
Sr2 Sr 0.250 0.250 0.250
Si1 Si 0.250 0.250 0.750
Au1 Au 0.000 0.000 0.500
```

Properties
The value obtained for the formation energy from raw total energies is -105.6 meV per atom.

(6)
An optimized crystal structure of SrSiAu2, computed with PBE.

```
data_SrSiAu2
_chemical_formula_sum 'Sr2 Si2 Au4'
_cell_length_a 4.234
_cell_length_b 5.598
_cell_length_c 7.855
_cell_angle_alpha 90.00
_cell_angle_beta 90.00
_cell_angle_gamma 90.00
_symmetry_space_group_name_H-M 'I m m m'
_symmetry_Int_Tables_number 71
_symmetry_space_group_name_Hall '-I 2 2'
loop_
_atom_site_label
_atom_site_type_symbol
_atom_site_fract_x
_atom_site_fract_y
_atom_site_fract_z
Sr1 Sr 0.000 0.000 0.000
Si1 Si 0.000 0.000 0.500
Au1 Au 0.000 0.500 0.194
```

Properties
The value obtained for the formation energy from raw total energies is -286.5 meV per atom.

(7)
An optimized crystal structure of SrSiAu4, computed with PBE.

```
data_SrSiAu4
_chemical_formula_sum 'Sr4 Si4 Au16'
_cell_length_a 4.431
_cell_length_b 16.266
_cell_length_c 6.906
_cell_angle_alpha 90.00
_cell_angle_beta 90.00
_cell_angle_gamma 90.00
_symmetry_space_group_name_H-M 'C m c m'
_symmetry_Int_Tables_number 63
_symmetry_space_group_name_Hall '-C 2c 2'
loop_
_atom_site_label
_atom_site_type_symbol
_atom_site_fract_x
_atom_site_fract_y
_atom_site_fract_z
Sr1 Sr 0.000 0.113 0.250
Si1 Si 0.000 0.234 0.750
Au1 Au 0.000 0.079 0.750
Au2 Au 0.000 0.318 0.047
Au3 Au 0.000 0.500 0.000
```

Properties
The value obtained for the relative energy among the computed polymorphs is 54 meV/atom. The value obtained for the formation energy from raw total energies is -358.3 meV per atom.

(8)
An optimized crystal structure of SrSi2Au2, computed with PBE.

```
data_SrSi2Au2
_chemical_formula_sum 'Sr2 Si4 Au4'
_cell_length_a 7.913
_cell_length_b 7.913
_cell_length_c 3.217
_cell_angle_alpha 90.00
_cell_angle_beta 90.00
_cell_angle_gamma 90.00
_symmetry_space_group_name_H-M 'P 4/m b m'
_symmetry_Int_Tables_number 127
_symmetry_space_group_name_Hall '-P 4 2ab'
loop_
_atom_site_label
_atom_site_type_symbol
_atom_site_fract_x
_atom_site_fract_y
_atom_site_fract_z
Sr1 Sr 0.000 0.000 0.000
Si1 Si 0.131 0.369 0.000
Au1 Au 0.153 0.653 0.500
```

Properties
The value obtained for the formation energy from raw total energies is -33.0 meV per atom.

(9)
An optimized crystal structure of Sr2SiAu, computed with PBE.

```
data_Sr2SiAu
_chemical_formula_sum 'Sr4 Si2 Au2'
_cell_length_a 6.095
_cell_length_b 4.555
_cell_length_c 8.895
_cell_angle_alpha 90.00
_cell_angle_beta 107.18
_cell_angle_gamma 90.00
_symmetry_space_group_name_H-M 'P 1 21/m 1'
_symmetry_Int_Tables_number 11
_symmetry_space_group_name_Hall '-P 2yb'
loop_
_atom_site_label
_atom_site_type_symbol
_atom_site_fract_x
_atom_site_fract_y
_atom_site_fract_z
Sr1 Sr 0.213 0.250 0.423
Sr2 Sr 0.285 0.750 0.067
Si1 Si 0.340 0.750 0.717
Au1 Au 0.172 0.250 0.776
```

Properties
The value obtained for the formation energy from raw total energies is -552.3 meV per atom.

(10)
An optimized crystal structure of SrSiAu3, computed with PBE.

```
data_SrSiAu3
_chemical_formula_sum 'Sr1 Si1 Au3'
_cell_length_a 4.916
_cell_length_b 4.916
_cell_length_c 4.916
_cell_angle_alpha 90.00
_cell_angle_beta 90.00
_cell_angle_gamma 90.00
_symmetry_space_group_name_H-M 'P m -3 m'
_symmetry_Int_Tables_number 221
_symmetry_space_group_name_Hall '-P 4 2 3'
loop_
_atom_site_label
_atom_site_type_symbol
_atom_site_fract_x
_atom_site_fract_y
_atom_site_fract_z
Sr1 Sr 0.000 0.000 0.000
Si1 Si 0.500 0.500 0.500
Au1 Au 0.000 0.500 0.500
```

Properties
The value obtained for the relative energy among the computed polymorphs is 95 meV/atom. The value obtained for the formation energy from raw total energies is -454.7 meV per atom.

(11)
An optimized crystal structure of Sr3Si6Au20, computed with PBE.

```
data_Sr3Si6Au20
_chemical_formula_sum 'Sr12 Si24 Au80'
_cell_length_a 13.139
_cell_length_b 13.139
_cell_length_c 13.139
_cell_angle_alpha 90.00
_cell_angle_beta 90.00
_cell_angle_gamma 90.00
_symmetry_space_group_name_H-M 'F m -3 m'
_symmetry_Int_Tables_number 225
_symmetry_space_group_name_Hall '-F 4 2 3'
loop_
_atom_site_label
_atom_site_type_symbol
_atom_site_fract_x
_atom_site_fract_y
_atom_site_fract_z
Sr1 Sr 0.000 0.000 0.000
Sr2 Sr 0.250 0.250 0.250
Si1 Si 0.000 0.000 0.261
Au1 Au 0.000 0.174 0.174
Au2 Au 0.111 0.111 0.389
```

Properties
The value obtained for the formation energy from raw total energies is -198.9 meV per atom.

(12)
An optimized crystal structure of SrSiAu, computed with PBE.

```
data_SrSiAu
_chemical_formula_sum 'Sr2 Si2 Au2'
_cell_length_a 4.132
_cell_length_b 4.513
_cell_length_c 8.017
_cell_angle_alpha 90.00
_cell_angle_beta 90.00
_cell_angle_gamma 90.00
_symmetry_space_group_name_H-M 'P m m a'
_symmetry_Int_Tables_number 51
_symmetry_space_group_name_Hall '-P 2a 2a'
loop_
_atom_site_label
_atom_site_type_symbol
_atom_site_fract_x
_atom_site_fract_y
_atom_site_fract_z
Sr1 Sr 0.250 0.000 0.243
Si1 Si 0.250 0.500 0.924
Au1 Au 0.250 0.500 0.616
```

Properties
The value obtained for the formation energy from raw total energies is -594.2 meV per atom.

- formation energy from raw total energies of number 4 (Sr3Si4Au2)?
  -598.1 meV per atom

Repeat the ninth record exactly.
An optimized crystal structure of Sr2SiAu, computed with PBE.

```
data_Sr2SiAu
_chemical_formula_sum 'Sr4 Si2 Au2'
_cell_length_a 6.095
_cell_length_b 4.555
_cell_length_c 8.895
_cell_angle_alpha 90.00
_cell_angle_beta 107.18
_cell_angle_gamma 90.00
_symmetry_space_group_name_H-M 'P 1 21/m 1'
_symmetry_Int_Tables_number 11
_symmetry_space_group_name_Hall '-P 2yb'
loop_
_atom_site_label
_atom_site_type_symbol
_atom_site_fract_x
_atom_site_fract_y
_atom_site_fract_z
Sr1 Sr 0.213 0.250 0.423
Sr2 Sr 0.285 0.750 0.067
Si1 Si 0.340 0.750 0.717
Au1 Au 0.172 0.250 0.776
```

Properties
The value obtained for the formation energy from raw total energies is -552.3 meV per atom.